--- w ---
Material: AuIBrO2
Method: DFT, PBE
State: optimized geometry

Results
**V**: 26.4 Å³/atom
**Magnetization**: 1.6 μB per formula unit

Structure (extended XYZ):
```
5
Lattice="-3.367 1.852 -1.362 -1.599 -0.152 3.747 3.214 7.062 1.658" Properties=species:S:1:pos:R:3 pbc="T T T"
I 1.607 3.531 0.829
Au 0.000 0.000 0.000
O -0.800 -0.076 1.874
O -1.683 0.926 -0.681
Br -0.876 4.381 2.021
```

***

--- x ---
Material: AuIBrO2
Method: DFT, PBE
State: optimized geometry

Results
**V**: 25.6 Å³/atom
**Magnetization**: 0.0 μB per formula unit

Structure (extended XYZ):
```
5
Lattice="-0.829 -3.836 -0.225 0.212 -0.276 3.916 -8.073 1.712 0.557" Properties=species:S:1:pos:R:3 pbc="T T T"
I -4.037 0.856 0.278
Au -4.345 -1.200 2.124
O 0.106 -0.138 1.958
O -0.414 -1.918 -0.113
Br 0.000 0.000 0.000
```

***

Which one sits at the top of the stability order? w does.

***

--- w ---
Material: SbAuI2Br
Method: DFT, PBE
State: optimized geometry

Results
**V**: 34.6 Å³/atom
**Magnetization**: 0.0 μB per formula unit

Structure (extended XYZ):
```
5
Lattice="5.547 0.000 0.000 0.000 5.547 0.000 0.000 0.000 5.620" Properties=species:S:1:pos:R:3 pbc="T T T"
I 0.000 2.774 0.000
I 2.774 0.000 0.000
Sb 0.000 0.000 2.810
Au 0.000 0.000 0.000
Br 2.774 2.774 2.810
```

***

--- x ---
Material: SbAuI2Br
Method: DFT, PBE
State: optimized geometry

Results
**V**: 39.6 Å³/atom
**Magnetization**: 1.3 μB per formula unit

Structure (extended XYZ):
```
5
Lattice="-3.485 1.662 4.375 -4.680 -1.231 -3.261 -0.005 -5.442 2.063" Properties=species:S:1:pos:R:3 pbc="T T T"
I -2.340 -0.616 -1.630
I -1.743 0.831 2.187
Sb -0.003 -2.721 1.031
Au -4.085 -2.506 1.589
Br 0.000 0.000 0.000
```

***

Which one sits at the top of the stability order? w does.

***

--- w ---
Material: TeAuI2Br
Method: DFT, PBE
State: optimized geometry

Results
**V**: 38.3 Å³/atom
**Magnetization**: 0.0 μB per formula unit

Structure (extended XYZ):
```
5
Lattice="5.838 0.000 0.000 0.000 5.838 0.000 0.000 0.000 5.618" Properties=species:S:1:pos:R:3 pbc="T T T"
I 0.000 2.919 0.000
I 2.919 0.000 0.000
Te 0.000 0.000 2.809
Au 2.919 2.919 2.809
Br 0.000 0.000 0.000
```

***

--- x ---
Material: TeAuI2Br
Method: DFT, PBE
State: optimized geometry

Results
**V**: 34.8 Å³/atom
**Magnetization**: 0.0 μB per formula unit

Structure (extended XYZ):
```
5
Lattice="5.558 0.000 0.000 0.000 5.558 0.000 0.000 0.000 5.628" Properties=species:S:1:pos:R:3 pbc="T T T"
I 0.000 2.779 0.000
I 2.779 0.000 0.000
Te 0.000 0.000 2.814
Au 0.000 0.000 0.000
Br 2.779 2.779 2.814
```

***

Which one sits at the top of the stability order? x does.

***

--- w ---
Material: InAuBr
Method: DFT, PBE
State: optimized geometry

Results
**V**: 26.2 Å³/atom
**Magnetization**: 0.0 μB per formula unit

Structure (extended XYZ):
```
3
Lattice="6.805 -0.004 0.003 5.382 3.465 0.000 1.423 -0.952 3.335" Properties=species:S:1:pos:R:3 pbc="T T T"
Au 12.107 3.428 0.028
Br 8.509 1.953 1.142
In 5.182 0.589 2.171
```

***

--- x ---
Material: InAuBr
Method: DFT, PBE
State: optimized geometry

Results
**V**: 28.5 Å³/atom
**Magnetization**: 0.0 μB per formula unit

Structure (extended XYZ):
```
3
Lattice="4.947 0.000 0.000 2.473 4.284 0.000 2.473 1.428 4.039" Properties=species:S:1:pos:R:3 pbc="T T T"
Au 7.420 4.284 3.029
Br 0.000 0.000 0.000
In 4.947 2.856 2.020
```

***

Which one sits at the top of the stability order? w does.

***

--- w ---
Material: InAu2Br
Method: DFT, PBE
State: optimized geometry

Results
**V**: 23.4 Å³/atom
**Magnetization**: 0.0 μB per formula unit

Structure (extended XYZ):
```
8
Lattice="-7.017 3.782 0.753 -3.003 -6.340 3.860 -4.126 -0.146 4.854" Properties=species:S:1:pos:R:3 pbc="T T T"
Au -5.914 1.600 2.179
Au -3.664 -3.592 3.707
Au -6.800 -0.959 5.303
Au -11.914 -2.458 7.743
Br -5.010 -1.279 2.306
Br -6.070 -3.882 5.510
In 0.000 0.000 0.000
In -8.076 1.178 3.956
```

***

--- x ---
Material: InAu2Br
Method: DFT, PBE
State: optimized geometry

Results
**V**: 27.3 Å³/atom
**Magnetization**: 0.0 μB per formula unit

Structure (extended XYZ):
```
4
Lattice="4.888 -0.006 0.114 3.349 3.560 0.114 4.006 1.728 6.386" Properties=species:S:1:pos:R:3 pbc="T T T"
Au 12.240 5.281 6.613
Au 9.769 4.215 5.584
Br 6.148 2.652 3.327
In 2.453 1.058 1.012
```

***

--- y ---
Material: InAu2Br
Method: DFT, PBE
State: optimized geometry

Results
**V**: 23.3 Å³/atom
**Magnetization**: 0.0 μB per formula unit

Structure (extended XYZ):
```
4
Lattice="7.973 -0.038 -0.023 7.109 3.609 -0.023 7.109 1.683 3.193" Properties=species:S:1:pos:R:3 pbc="T T T"
Au 0.117 0.028 0.017
Au 10.979 2.600 1.557
Br 5.548 1.314 0.787
In 16.644 3.941 2.360
```

***

Which one sits at the top of the stability order? x does.

***

--- w ---
Material: InAu2Br
Method: DFT, PBE
State: optimized geometry

Results
**V**: 23.7 Å³/atom
**Magnetization**: 0.0 μB per formula unit

Structure (extended XYZ):
```
4
Lattice="-3.612 -0.245 -0.057 1.696 -2.990 1.137 -0.300 2.681 7.500" Properties=species:S:1:pos:R:3 pbc="T T T"
Au -0.297 2.653 7.420
Au -0.153 1.369 3.829
Br -1.033 -0.947 2.415
In -1.183 0.393 6.165
```

***

--- x ---
Material: InAu2Br
Method: DFT, PBE
State: optimized geometry

Results
**V**: 26.2 Å³/atom
**Magnetization**: 0.0 μB per formula unit

Structure (extended XYZ):
```
4
Lattice="-2.049 4.452 0.611 -0.260 -0.770 4.739 3.914 1.476 2.368" Properties=species:S:1:pos:R:3 pbc="T T T"
Au 0.035 0.007 0.065
Au -0.352 2.355 1.615
Br 1.822 0.352 3.541
In 1.928 2.796 6.050
```

***

Which one sits at the top of the stability order? x does.